Below is a relaxed structure of Ba4Na5Au6, with properties calculated at the PBE level.

POSCAR file:
```
Ba4Na5Au6
1.0
-0.682 -1.157 -4.601
-3.806 -9.730 5.508
-15.988 6.649 0.696
Ba Au Na
8 12 10
Cartesian
-10.093 -4.296 0.080 Ba
-8.525 -8.414 0.883 Ba
-16.073 -2.253 0.452 Ba
-12.578 4.437 0.747 Ba
-6.221 -1.229 1.231 Ba
-8.210 3.226 0.405 Ba
-16.535 2.616 1.792 Ba
-4.575 -10.663 0.864 Ba
-6.534 0.749 -1.717 Au
-6.813 -4.074 -0.462 Au
-5.697 -8.019 2.861 Au
-9.513 -1.494 1.785 Au
-18.238 0.281 0.135 Au
-13.424 -4.370 0.592 Au
-14.349 0.121 2.095 Au
-17.474 -3.519 3.474 Au
-15.326 3.927 -1.213 Au
-11.018 2.217 -1.422 Au
-9.948 -6.169 3.026 Au
-2.873 -1.606 0.830 Au
-11.344 0.874 1.461 Na
-3.550 -0.676 -1.800 Na
-5.189 -6.752 -0.029 Na
-6.942 -5.127 2.318 Na
-14.363 -4.627 3.292 Na
-18.721 -0.679 2.944 Na
-3.895 -3.866 -0.947 Na
-12.411 -2.106 2.368 Na
-13.900 1.041 -0.699 Na
-9.380 -0.388 -1.009 Na
```

Computed properties:
N(E_F): 6.3 states/eV/f.u.
E_tot: -2.74 eV/atom
calculated density: 6.38 g cm⁻³
DFT formation energy: -473.4 meV/atom
magnetic moment: 0.00 μB/f.u.
crystal system: orthorhombic